# ScV9N9, relaxed, DFT PBE-GGA
# SG ... P-1
# Crystal system ... triclinic
# DOS(E_F) ... 0.57 states/eV per atom
# Formation energy from raw total energies ... -1081 meV/atom
data_ScV9N9
_space_group_name_H-M_alt 'P 1'
_space_group_IT_number 1
_space_group_name_Hall 'P 1'
_cell_length_a 5.051
_cell_length_b 5.860
_cell_length_c 6.528
_cell_angle_alpha 76.69
_cell_angle_beta 75.22
_cell_angle_gamma 73.37
loop_
_atom_site_label
_atom_site_fract_x
_atom_site_fract_y
_atom_site_fract_z
Sc1 0.500 0.000 0.000
N1 0.808 0.686 0.905
N2 0.182 0.800 0.105
N3 0.000 0.000 0.500
N4 0.403 0.104 0.686
N5 0.192 0.314 0.095
N6 0.588 0.405 0.305
N7 0.412 0.595 0.695
N8 0.597 0.896 0.314
N9 0.818 0.200 0.895
V1 0.907 0.590 0.217
V2 0.103 0.879 0.789
V3 0.897 0.121 0.211
V4 0.277 0.214 0.411
V5 0.093 0.410 0.783
V6 0.277 0.685 0.407
V7 0.723 0.315 0.593
V8 0.500 0.500 0.000
V9 0.723 0.786 0.589